<A>
{
  "formula": "TaAlRe",
  "functional": "PBE",
  "state": "relaxed",
  "lattice_angstrom": [[-4.947, 0.654, 0.737], [-2.417, -0.693, 4.373], [4.058, 2.235, -1.996]],
  "species": ["Re", "Al", "Ta"],
  "fractional_positions": [[0.330, 0.330, 0.000], [0.994, 0.994, 0.000], [0.676, 0.676, 0.000]]
}

***

<B>
{
  "formula": "TaAlRe",
  "functional": "PBE",
  "state": "relaxed",
  "lattice_angstrom": [[-3.512, -0.618, 2.683], [1.620, -3.412, -2.377], [1.711, -0.645, 2.092]],
  "species": ["Re", "Al", "Ta"],
  "fractional_positions": [[0.667, 0.333, 0.332], [0.000, 0.000, 0.047], [0.333, 0.667, 0.621]]
}

***

<C>
{
  "formula": "TaAlRe",
  "functional": "PBE",
  "state": "relaxed",
  "lattice_angstrom": [[4.170, 0.000, 0.000], [2.085, 5.377, -0.089], [2.085, 1.198, 4.467]],
  "species": ["Al", "Al", "Re", "Re", "Ta", "Ta"],
  "fractional_positions": [[0.356, 0.213, 0.075], [0.644, 0.787, 0.925], [0.667, 0.348, 0.318], [0.333, 0.652, 0.682], [0.922, 0.826, 0.330], [0.078, 0.174, 0.670]]
}

***

Of them, <A> has the highest stability.

***

<A>
{
  "formula": "TbAl10Re2",
  "functional": "PBE",
  "state": "relaxed",
  "lattice_angstrom": [[-1.683, -6.708, 0.252], [6.435, -0.855, -2.397], [3.155, -0.467, 8.636]],
  "species": ["Tb", "Tb", "Al", "Al", "Al", "Al", "Al", "Al", "Al", "Al", "Al", "Al", "Al", "Al", "Al", "Al", "Al", "Al", "Al", "Al", "Al", "Al", "Re", "Re", "Re", "Re"],
  "fractional_positions": [[0.871, 0.129, 0.750], [0.129, 0.871, 0.250], [0.408, 0.141, 0.750], [0.592, 0.859, 0.250], [0.859, 0.592, 0.750], [0.141, 0.408, 0.250], [0.529, 0.789, 0.750], [0.471, 0.211, 0.250], [0.211, 0.471, 0.750], [0.789, 0.529, 0.250], [0.849, 0.151, 0.404], [0.151, 0.849, 0.904], [0.849, 0.151, 0.096], [0.151, 0.849, 0.596], [0.624, 0.376, 0.963], [0.376, 0.624, 0.463], [0.624, 0.376, 0.537], [0.376, 0.624, 0.037], [0.774, 0.774, 0.000], [0.226, 0.226, 0.500], [0.226, 0.226, 0.000], [0.774, 0.774, 0.500], [0.500, 0.000, 0.000], [0.500, 0.000, 0.500], [0.000, 0.500, 0.500], [0.000, 0.500, 0.000]]
}

***

<B>
{
  "formula": "TbAl10Re2",
  "functional": "PBE",
  "state": "relaxed",
  "lattice_angstrom": [[6.966, 0.003, 0.000], [-0.748, 6.925, 0.000], [0.000, 0.000, 18.031]],
  "species": ["Tb", "Tb", "Tb", "Tb", "Al", "Al", "Al", "Al", "Al", "Al", "Al", "Al", "Al", "Al", "Al", "Al", "Al", "Al", "Al", "Al", "Al", "Al", "Al", "Al", "Al", "Al", "Al", "Al", "Al", "Al", "Al", "Al", "Al", "Al", "Al", "Al", "Al", "Al", "Al", "Al", "Al", "Al", "Al", "Al", "Re", "Re", "Re", "Re", "Re", "Re", "Re", "Re"],
  "fractional_positions": [[0.257, 0.743, 0.750], [0.743, 0.257, 0.250], [0.000, 0.000, 0.500], [0.000, 0.000, 0.000], [0.349, 0.349, 0.500], [0.651, 0.651, 0.500], [0.651, 0.651, 0.000], [0.349, 0.349, 0.000], [0.909, 0.653, 0.631], [0.091, 0.347, 0.369], [0.091, 0.347, 0.131], [0.347, 0.091, 0.869], [0.909, 0.653, 0.869], [0.653, 0.909, 0.131], [0.653, 0.909, 0.369], [0.347, 0.091, 0.631], [0.912, 0.387, 0.750], [0.088, 0.613, 0.250], [0.613, 0.088, 0.750], [0.387, 0.912, 0.250], [0.717, 0.283, 0.074], [0.283, 0.717, 0.926], [0.283, 0.717, 0.574], [0.717, 0.283, 0.426], [0.965, 0.035, 0.675], [0.035, 0.965, 0.325], [0.035, 0.965, 0.175], [0.965, 0.035, 0.825], [0.000, 0.500, 0.500], [0.000, 0.500, 0.000], [0.500, 0.000, 0.000], [0.500, 0.000, 0.500], [0.751, 0.249, 0.593], [0.249, 0.751, 0.407], [0.249, 0.751, 0.093], [0.751, 0.249, 0.907], [0.274, 0.299, 0.750], [0.726, 0.701, 0.250], [0.701, 0.726, 0.750], [0.299, 0.274, 0.250], [0.505, 0.495, 0.643], [0.495, 0.505, 0.357], [0.495, 0.505, 0.143], [0.505, 0.495, 0.857], [0.130, 0.374, 0.621], [0.870, 0.626, 0.379], [0.870, 0.626, 0.121], [0.626, 0.870, 0.879], [0.130, 0.374, 0.879], [0.374, 0.130, 0.121], [0.374, 0.130, 0.379], [0.626, 0.870, 0.621]]
}

***

Of them, <B> has the highest stability.

***

<A>
{
  "formula": "Al2ReTc",
  "functional": "PBE",
  "state": "relaxed",
  "lattice_angstrom": [[-3.073, 2.443, -0.188], [-2.220, -2.891, -1.274], [-0.930, -0.890, 3.640]],
  "species": ["Re", "Tc", "Al", "Al"],
  "fractional_positions": [[0.500, 0.500, 0.000], [0.500, 0.000, 0.500], [0.000, 0.000, 0.000], [0.000, 0.500, 0.500]]
}

***

<B>
{
  "formula": "Al2ReTc",
  "functional": "PBE",
  "state": "relaxed",
  "lattice_angstrom": [[-6.233, 4.599, -3.862], [-5.798, 2.642, -5.858], [-7.540, 2.095, -3.697]],
  "species": ["Re", "Tc", "Al", "Al"],
  "fractional_positions": [[0.750, 0.750, 0.750], [0.250, 0.250, 0.250], [0.999, 0.999, 0.999], [0.501, 0.501, 0.501]]
}

***

Of them, <B> has the highest stability.

***

<A>
{
  "formula": "Al2ReTc",
  "functional": "PBE",
  "state": "relaxed",
  "lattice_angstrom": [[4.767, -0.006, 0.000], [-1.654, 4.471, 0.000], [0.000, 0.000, 2.751]],
  "species": ["Re", "Tc", "Al", "Al"],
  "fractional_positions": [[0.500, 0.000, 0.500], [0.000, 0.500, 0.500], [0.000, 0.000, 0.000], [0.500, 0.500, 0.000]]
}

***

<B>
{
  "formula": "Al2ReTc",
  "functional": "PBE",
  "state": "relaxed",
  "lattice_angstrom": [[-2.873, -3.170, -0.044], [1.981, -1.842, 3.314], [-1.802, 1.605, 1.969]],
  "species": ["Re", "Tc", "Al", "Al"],
  "fractional_positions": [[0.500, 0.000, 0.500], [0.000, 0.500, 0.500], [0.000, 0.000, 0.000], [0.500, 0.500, 0.000]]
}

***

Of them, <B> has the highest stability.

***

<A>
{
  "formula": "Al2ReTc",
  "functional": "PBE",
  "state": "relaxed",
  "lattice_angstrom": [[-3.482, 0.379, 3.239], [-0.115, -3.905, 2.738], [3.550, 2.935, -1.244]],
  "species": ["Re", "Tc", "Al", "Al"],
  "fractional_positions": [[0.250, 0.750, 0.500], [0.750, 0.250, 0.500], [0.000, 0.000, 0.000], [0.500, 0.500, 0.000]]
}

***

<B>
{
  "formula": "Al2ReTc",
  "functional": "PBE",
  "state": "relaxed",
  "lattice_angstrom": [[-0.067, 4.261, -1.666], [1.547, -0.545, -4.271], [-3.409, -2.258, 2.053]],
  "species": ["Re", "Tc", "Al", "Al"],
  "fractional_positions": [[0.500, 0.500, 0.000], [0.750, 0.250, 0.500], [0.000, 0.000, 0.000], [0.250, 0.750, 0.500]]
}

***

Of them, <B> has the highest stability.

***

<A>
{
  "formula": "Al2ReTc",
  "functional": "PBE",
  "state": "relaxed",
  "lattice_angstrom": [[3.093, 0.000, 0.000], [0.000, 3.093, 0.000], [0.000, 0.000, 5.984]],
  "species": ["Re", "Tc", "Al", "Al"],
  "fractional_positions": [[0.000, 0.000, 0.492], [0.500, 0.500, 0.761], [0.000, 0.000, 0.994], [0.500, 0.500, 0.254]]
}

***

<B>
{
  "formula": "Al2ReTc",
  "functional": "PBE",
  "state": "relaxed",
  "lattice_angstrom": [[-4.565, -6.633, 3.764], [-3.770, -7.929, 1.381], [-2.027, -7.867, 3.605]],
  "species": ["Re", "Tc", "Al", "Al"],
  "fractional_positions": [[0.502, 0.502, 0.502], [0.248, 0.248, 0.248], [0.997, 0.997, 0.997], [0.752, 0.752, 0.752]]
}

***

<C>
{
  "formula": "Al2ReTc",
  "functional": "PBE",
  "state": "relaxed",
  "lattice_angstrom": [[4.932, 0.002, 0.009], [4.040, 2.830, 0.009], [1.321, 0.417, 4.185]],
  "species": ["Re", "Tc", "Al", "Al"],
  "fractional_positions": [[0.508, 0.508, 0.517], [0.243, 0.243, 0.232], [0.989, 0.989, 0.029], [0.760, 0.760, 0.722]]
}

***

<D>
{
  "formula": "Al2ReTc",
  "functional": "PBE",
  "state": "relaxed",
  "lattice_angstrom": [[4.204, 0.000, 0.000], [0.000, 2.738, 0.011], [0.000, 0.684, 5.073]],
  "species": ["Re", "Tc", "Al", "Al"],
  "fractional_positions": [[0.500, 0.250, 0.250], [0.500, 0.750, 0.750], [0.000, 0.992, 0.998], [0.000, 0.508, 0.502]]
}

***

Of them, <A> has the highest stability.